VASP calculation (GGA-PBE) on a relaxed structure of Tb6PuTh.

Structure (POSCAR):
```
Tb6PuTh
1.0
4.944 -3.424 0.000
4.944 3.424 0.000
-2.601 0.000 8.127
Tb Pu Th
6 1 1
direct
0.052 0.563 0.200
0.136 0.136 0.432
0.437 0.948 0.800
0.563 0.052 0.200
0.864 0.864 0.568
0.948 0.437 0.800
0.500 0.500 0.500
0.500 0.500 0.000
```

Results
Size of the total moment ... 6.02 μB per formula unit
Calculated total energy ... -5.7594 eV per atom
DFT formation energy ... 42 kJ/mol of atoms

VASP calculation (GGA-PBE) on a relaxed structure of TlTc2As.

Structure (POSCAR):
```
TlTc2As
1.0
4.450 -1.543 0.000
4.450 1.543 0.000
-1.171 0.000 5.498
Tl Tc As
1 2 1
direct
0.000 0.000 0.000
0.489 0.489 0.516
0.766 0.766 0.280
0.221 0.221 0.606
```

Results
Size of the total moment ... 0.00 μB per formula unit
Calculated total energy ... -6.4914 eV per atom
DFT formation energy ... 43 kJ/mol of atoms

VASP calculation (GGA-PBE) on a relaxed structure of KHgRh2.

Structure (POSCAR):
```
KHgRh2
1.0
4.917 -1.465 0.000
4.917 1.465 0.000
-1.004 0.000 6.159
K Hg Rh
1 1 2
direct
0.000 0.000 0.000
0.500 0.500 0.500
0.234 0.234 0.665
0.766 0.766 0.335
```

Results
Size of the total moment ... 0.00 μB per formula unit
Calculated total energy ... -3.5862 eV per atom
DFT formation energy ... 42 kJ/mol of atoms

VASP calculation (GGA-PBE) on a relaxed structure of NdSm2Ag2Sn2.

Structure (POSCAR):
```
NdSm2Ag2Sn2
1.0
2.444 1.411 8.910
-2.444 1.411 8.910
0.000 -2.823 8.910
Nd Sm Ag Sn
1 2 2 2
direct
0.000 0.000 0.000
0.135 0.135 0.135
0.865 0.865 0.865
0.431 0.431 0.431
0.569 0.569 0.569
0.265 0.265 0.265
0.735 0.735 0.735
```

Results
Size of the total moment ... 0.00 μB per formula unit
Calculated total energy ... -4.4158 eV per atom
DFT formation energy ... -41 kJ/mol of atoms

VASP calculation (GGA-PBE) on a relaxed structure of CaTlPtRh.

Structure (POSCAR):
```
CaTlPtRh
1.0
0.000 3.375 3.375
3.375 0.000 3.375
3.375 3.375 0.000
Ca Tl Pt Rh
1 1 1 1
direct
0.000 0.000 0.000
0.500 0.500 0.500
0.750 0.750 0.750
0.250 0.250 0.250
```

Results
Size of the total moment ... 0.00 μB per formula unit
Calculated total energy ... -4.7725 eV per atom
DFT formation energy ... -32 kJ/mol of atoms

VASP calculation (GGA-PBE) on a relaxed structure of RbBaH.

Structure (POSCAR):
```
RbBaH
1.0
7.730 0.000 0.000
0.000 4.559 0.000
-0.077 0.000 7.977
Rb Ba H
2 2 2
direct
0.000 0.000 0.000
0.029 0.500 0.489
0.477 0.500 0.187
0.493 0.000 0.618
0.340 0.000 0.309
0.400 0.500 0.500
```

Results
Size of the total moment ... 0.00 μB per formula unit
Calculated total energy ... -2.2164 eV per atom

VASP calculation (GGA-PBE) on a relaxed structure of Sm4NiHg2.

Structure (POSCAR):
```
Sm4NiHg2
1.0
-2.611 2.611 7.697
2.611 -2.611 7.697
2.611 2.611 -7.697
Sm Ni Hg
4 1 2
direct
0.000 0.500 0.500
0.182 0.182 0.000
0.500 0.000 0.500
0.818 0.818 0.000
0.000 0.000 0.000
0.377 0.377 0.000
0.623 0.623 0.000
```

Results
Size of the total moment ... 0.00 μB per formula unit
Calculated total energy ... -3.8173 eV per atom
DFT formation energy ... -20 kJ/mol of atoms

VASP calculation (GGA-PBE) on a relaxed structure of BaZrMn2Zn.

Structure (POSCAR):
```
BaZrMn2Zn
1.0
5.020 0.000 0.000
0.000 5.020 0.000
0.000 0.000 5.489
Ba Zr Mn Zn
1 1 2 1
direct
0.000 0.000 0.000
0.500 0.500 0.500
0.000 0.500 0.500
0.500 0.000 0.500
0.500 0.500 0.000
```

Results
Size of the total moment ... 5.81 μB per formula unit
Calculated total energy ... -5.3680 eV per atom
DFT formation energy ... 63 kJ/mol of atoms

VASP calculation (GGA-PBE) on a relaxed structure of RbZr2O2.

Structure (POSCAR):
```
RbZr2O2
1.0
-2.102 2.102 7.783
2.102 -2.102 7.783
2.102 2.102 -7.783
Rb Zr O
1 2 2
direct
0.000 0.000 0.000
0.250 0.750 0.500
0.750 0.250 0.500
0.291 0.291 0.000
0.709 0.709 0.000
```

Results
Size of the total moment ... 0.00 μB per formula unit
Calculated total energy ... -7.0758 eV per atom
E_form (uncorrected) ... -7.40 eV/f.u.

VASP calculation (GGA-PBE) on a relaxed structure of BaHoZn2Ga2.

Structure (POSCAR):
```
BaHoZn2Ga2
1.0
4.536 0.000 0.000
-2.268 3.928 0.000
0.000 0.000 8.149
Ba Ho Zn Ga
1 1 2 2
direct
0.000 0.000 0.000
0.000 0.000 0.500
0.333 0.667 0.685
0.667 0.333 0.315
0.333 0.667 0.307
0.667 0.333 0.693
```

Results
Size of the total moment ... 0.00 μB per formula unit
Calculated total energy ... -2.9940 eV per atom
DFT formation energy ... -46 kJ/mol of atoms

VASP calculation (GGA-PBE) on a relaxed structure of TcAsSe3.

Structure (POSCAR):
```
TcAsSe3
1.0
5.012 0.000 0.000
0.000 5.012 0.000
0.000 0.000 5.012
Tc As Se
1 1 3
direct
0.000 0.000 0.000
0.500 0.500 0.500
0.000 0.500 0.500
0.500 0.000 0.500
0.500 0.500 0.000
```

Results
Size of the total moment ... 4.32 μB per formula unit
Calculated total energy ... -4.1125 eV per atom
E_form (uncorrected) ... 4.91 eV/f.u.

VASP calculation (GGA-PBE) on a relaxed structure of KBa2Fe.

Structure (POSCAR):
```
KBa2Fe
1.0
4.063 0.000 0.000
0.000 4.063 0.000
0.000 0.000 11.315
K Ba Fe
1 2 1
direct
0.000 0.000 0.000
0.500 0.500 0.333
0.500 0.500 0.667
0.000 0.000 0.500
```

Results
Size of the total moment ... 1.99 μB per formula unit
Calculated total energy ... -2.9082 eV per atom
DFT formation energy ... 43 kJ/mol of atoms

VASP calculation (GGA-PBE) on a relaxed structure of BaY2Au.

Structure (POSCAR):
```
BaY2Au
1.0
2.037 1.176 10.287
-2.037 1.176 10.287
0.000 -2.352 10.287
Ba Y Au
1 2 1
direct
0.000 0.000 0.000
0.223 0.223 0.223
0.777 0.777 0.777
0.500 0.500 0.500
```

Results
Size of the total moment ... 0.00 μB per formula unit
Calculated total energy ... -4.7534 eV per atom
DFT formation energy ... -21 kJ/mol of atoms

VASP calculation (GGA-PBE) on a relaxed structure of NaMnGa2Ge.

Structure (POSCAR):
```
NaMnGa2Ge
1.0
4.684 0.000 0.000
0.000 4.684 0.000
0.000 0.000 4.538
Na Mn Ga Ge
1 1 2 1
direct
0.000 0.000 0.000
0.500 0.500 0.500
0.000 0.500 0.500
0.500 0.000 0.500
0.500 0.500 0.000
```

Results
Size of the total moment ... 0.00 μB per formula unit
Calculated total energy ... -4.3392 eV per atom
DFT formation energy ... -10 kJ/mol of atoms

VASP calculation (GGA-PBE) on a relaxed structure of SrP2S6.

Structure (POSCAR):
```
SrP2S6
1.0
6.173 -6.589 0.000
6.173 6.589 0.000
-0.836 0.000 5.717
Sr P S
2 4 12
direct
0.131 0.869 0.750
0.869 0.131 0.250
0.210 0.364 0.764
0.364 0.210 0.264
0.636 0.790 0.736
0.790 0.636 0.236
0.037 0.205 0.740
0.170 0.561 0.910
0.205 0.037 0.240
0.282 0.407 0.436
0.407 0.282 0.936
0.439 0.830 0.590
0.561 0.170 0.410
0.593 0.718 0.064
0.718 0.593 0.564
0.795 0.963 0.760
0.830 0.439 0.090
0.963 0.795 0.260
```

Results
Size of the total moment ... 0.00 μB per formula unit
Calculated total energy ... -4.7406 eV per atom
E_form (uncorrected) ... -5.40 eV/f.u.

VASP calculation (GGA-PBE) on a relaxed structure of CuSnPd.

Structure (POSCAR):
```
CuSnPd
1.0
-1.723 1.723 4.198
1.723 -1.723 4.198
1.723 1.723 -4.198
Cu Sn Pd
1 1 1
direct
0.000 0.000 0.000
0.327 0.327 0.000
0.657 0.657 0.000
```

Results
Size of the total moment ... 0.00 μB per formula unit
Calculated total energy ... -4.6868 eV per atom
DFT formation energy ... -25 kJ/mol of atoms

VASP calculation (GGA-PBE) on a relaxed structure of CsAgTeN2.

Structure (POSCAR):
```
CsAgTeN2
1.0
4.931 0.000 0.000
0.000 4.931 0.000
0.000 0.000 5.582
Cs Ag Te N
1 1 1 2
direct
0.000 0.000 0.000
0.500 0.500 0.500
0.500 0.500 0.000
0.000 0.500 0.500
0.500 0.000 0.500
```

Results
Size of the total moment ... 4.46 μB per formula unit
Calculated total energy ... -3.1754 eV per atom
E_form (uncorrected) ... 7.62 eV/f.u.

VASP calculation (GGA-PBE) on a relaxed structure of Cr2Pt.

Structure (POSCAR):
```
Cr2Pt
1.0
4.152 0.000 0.000
-2.076 3.595 0.000
0.000 0.000 2.607
Cr Pt
2 1
direct
0.333 0.667 0.000
0.667 0.333 0.000
0.000 0.000 0.500
```

Results
Size of the total moment ... 0.00 μB per formula unit
Calculated total energy ... -8.4318 eV per atom
DFT formation energy ... 0 kJ/mol of atoms

VASP calculation (GGA-PBE) on a relaxed structure of U2Pd15Pt2.

Structure (POSCAR):
```
U2Pd15Pt2
1.0
4.545 2.624 4.557
-4.545 2.624 4.557
0.000 -5.248 4.557
U Pd Pt
2 15 2
direct
0.187 0.187 0.187
0.813 0.813 0.813
0.000 0.500 0.500
0.147 0.147 0.659
0.147 0.659 0.147
0.193 0.500 0.807
0.193 0.807 0.500
0.341 0.853 0.853
0.500 0.000 0.500
0.500 0.193 0.807
0.500 0.500 0.000
0.500 0.807 0.193
0.659 0.147 0.147
0.807 0.193 0.500
0.807 0.500 0.193
0.853 0.341 0.853
0.853 0.853 0.341
0.396 0.396 0.396
0.604 0.604 0.604
```

Results
Size of the total moment ... 2.85 μB per formula unit
Calculated total energy ... -6.0758 eV per atom
DFT formation energy ... -15 kJ/mol of atoms

VASP calculation (GGA-PBE) on a relaxed structure of CePrZnHg.

Structure (POSCAR):
```
CePrZnHg
1.0
0.000 3.778 3.778
3.778 0.000 3.778
3.778 3.778 0.000
Ce Pr Zn Hg
1 1 1 1
direct
0.000 0.000 0.000
0.500 0.500 0.500
0.750 0.750 0.750
0.250 0.250 0.250
```

Results
Size of the total moment ... 1.87 μB per formula unit
Calculated total energy ... -3.3505 eV per atom
DFT formation energy ... -27 kJ/mol of atoms